Entry 1:
Material: CuBi2Sb
Method: DFT, PBE
State: relaxed

Lattice parameters (Å, degrees): 6.4621 6.4621 7.9894 66.15 66.15 90.00
Element x y z (fractional)
Bi: 0.3750 0.4237 0.7500
Bi: 0.8750 0.8263 0.7500
Sb: 0.0000 0.0000 0.0000
Cu: 0.5000 0.5000 0.0000
Cu: 0.2500 0.7500 0.5000
Sb: 0.7500 0.2500 0.5000
Bi: 0.1737 0.6250 0.2500
Bi: 0.5763 0.1250 0.2500

Computed properties:
Its energy is -30.230 eV/cell. The calculation puts the formation energy from raw total energies at 0.87 eV per formula unit. The calculation puts the volume at 273.7 Å³/cell. The value obtained for the density of states at the Fermi level is 0.72 states/eV/f.u.


Entry 2:
Material: Mn2CdPt
Method: DFT, PBE
State: relaxed

Lattice parameters (Å, degrees): 9.1282 9.1282 9.1282 18.39 18.39 18.39
Each line ends with the local moment (μB).
Element x y z (fractional)
Cd: 0.7500 0.7500 0.7500  -0.05
Mn: 0.9951 0.9951 0.9951  3.66
Pt: 0.2500 0.2500 0.2500  0.27
Mn: 0.5049 0.5049 0.5049  3.66

Computed properties:
Its energy is -24.897 eV/cell. The calculation puts the volume at 66.1 Å³/cell. The value obtained for the density of states at the Fermi level is 2.17 states/eV/f.u. The calculation puts the energy of formation at 0.10 eV/atom.